Entry from Alexandria: a relaxed CaHo2Au crystal (GGA-PBE).

Lattice parameters (Å, degrees): 10.216 10.216 10.216 21.80 21.80 21.80
Fractional coordinates of all 4 atoms:
Ca  0.000  0.000  0.000
Ho  0.561  0.561  0.561
Ho  0.769  0.769  0.769
Au  0.165  0.165  0.165

Raw total energy (eV per cell): -15.50
Calculated volume (Å³/atom): 32.2
Space group: R3m, No. 160
Total moment (μB per cell): 0.0